# Ni2W3C

A relaxed Ni2W3C crystal (PBE-GGA, Alexandria via LeMat-Bulk).

Cell lengths 6.717, 6.717, 6.717 Å; angles 90.00, 90.00, 90.00 degrees
Fractional positions:
1 W 0.201 0.451 0.125
2 W 0.375 0.799 0.951
3 W 0.951 0.375 0.799
4 W 0.299 0.549 0.625
5 W 0.451 0.125 0.201
6 W 0.049 0.875 0.701
7 W 0.701 0.049 0.875
8 W 0.875 0.701 0.049
9 W 0.549 0.625 0.299
10 W 0.125 0.201 0.451
11 W 0.799 0.951 0.375
12 W 0.625 0.299 0.549
13 C 0.375 0.375 0.375
14 C 0.875 0.125 0.625
15 C 0.625 0.875 0.125
16 C 0.125 0.625 0.875
17 Ni 0.819 0.319 0.181
18 Ni 0.931 0.569 0.431
19 Ni 0.681 0.681 0.681
20 Ni 0.569 0.431 0.931
21 Ni 0.431 0.931 0.569
22 Ni 0.319 0.181 0.819
23 Ni 0.181 0.819 0.319
24 Ni 0.069 0.069 0.069

DFT total energy, eV per atom: -9.989
Space group: P4_132
Formation energy, kJ/mol of formula units: -28